Record 1
Material: TcP2Cl
Method: DFT, PBE-GGA
State: relaxed

a = 8.9479 Å, b = 8.9479 Å, c = 8.9479 Å
α = 19.60°, β = 19.60°, γ = 19.60°
With the nearest neighbours (Å) after each atom.
Fractional coordinates of all 4 atoms:
Tc 0.0000 0.0000 0.0000  3 P 2.45, 3 Cl 2.52
P 0.2684 0.2684 0.2684  3 P 2.40, 3 Tc 2.45
P 0.5398 0.5398 0.5398  3 P 2.40
Cl 0.7352 0.7352 0.7352  3 Tc 2.52

space-group type = R3m, No. 160
raw formation energy = 0.113 eV per atom
energy above the lowest structure with this stoichiometry = 274.7 meV per atom
density of states at the Fermi level = 4.082 states/eV/cell


Record 2
Material: Tc2PCl
Method: DFT, PBE-GGA
State: relaxed

a = 4.8799 Å, b = 4.8799 Å, c = 2.9194 Å
α = 105.35°, β = 105.35°, γ = 105.60°
With the nearest neighbours (Å) after each atom.
Fractional coordinates of all 4 atoms:
Tc 0.0000 0.5000 0.0000  2 Cl 2.44, 2 P 2.44
Tc 0.5000 0.0000 0.0000  2 Cl 2.44, 2 P 2.44
P 0.0000 0.0000 0.0000  4 Tc 2.44
Cl 0.5000 0.5000 0.0000  4 Tc 2.44

space-group type = C2/m, No. 12
raw formation energy = 0.573 eV per atom
energy above the lowest structure with this stoichiometry = 644.1 meV per atom
density of states at the Fermi level = 4.189 states/eV/cell


Record 3
Material: TcP2Cl
Method: DFT, PBE-GGA
State: relaxed

a = 3.9784 Å, b = 3.9784 Å, c = 7.3554 Å
α = 109.92°, β = 109.92°, γ = 45.28°
With the nearest neighbours (Å) after each atom.
Fractional coordinates of all 4 atoms:
Tc 0.0000 0.0000 0.0000  6 P 2.40-2.42
P 0.3537 0.3537 0.1580  1 Cl 2.34, 3 Tc 2.40-2.42
P 0.6463 0.6463 0.8420  1 Cl 2.34, 3 Tc 2.40-2.42
Cl 0.5000 0.5000 0.5000  2 P 2.34

space-group type = C2/m, No. 12
raw formation energy = -0.158 eV per atom
energy above the lowest structure with this stoichiometry = 3.3 meV per atom
density of states at the Fermi level = 1.784 states/eV/cell


Record 4
Material: TcP2Cl
Method: DFT, PBE-GGA
State: relaxed

a = 4.2791 Å, b = 4.2791 Å, c = 6.9298 Å
α = 102.95°, β = 102.95°, γ = 45.16°
With the nearest neighbours (Å) after each atom.
Fractional coordinates of all 4 atoms:
Tc 0.0000 0.0000 0.0000  1 Cl 2.29, 5 P 2.36-2.49
P 0.3071 0.3071 0.0673  1 P 2.13, 3 Tc 2.36
P 0.5535 0.5535 0.2774  1 P 2.13
Cl 0.9370 0.9370 0.6591  1 Tc 2.29

space-group type = Cm, No. 8
raw formation energy = -0.161 eV per atom
energy above the lowest structure with this stoichiometry = 0.0 meV per atom
density of states at the Fermi level = 2.661 states/eV/cell


Record 5
Material: Tc2PCl
Method: DFT, PBE-GGA
State: relaxed

a = 2.9221 Å, b = 3.8561 Å, c = 6.4343 Å
α = 90.00°, β = 90.00°, γ = 90.00°
With the nearest neighbours (Å) after each atom.
Fractional coordinates of all 4 atoms:
Tc 0.0000 0.0000 0.0000  1 Cl 2.36, 4 P 2.64
Tc 0.5000 0.5000 0.1849  1 P 2.24
P 0.5000 0.5000 0.8366  1 Tc 2.24
Cl 0.0000 0.0000 0.3665  1 Tc 2.36

space-group type = Pmm2, No. 25
raw formation energy = 0.127 eV per atom
energy above the lowest structure with this stoichiometry = 198.3 meV per atom
density of states at the Fermi level = 2.701 states/eV/cell


Record 6
Material: TcP2Cl
Method: DFT, PBE-GGA
State: relaxed

a = 4.7819 Å, b = 4.7819 Å, c = 3.1126 Å
α = 90.00°, β = 90.00°, γ = 120.59°
With the nearest neighbours (Å) after each atom.
Fractional coordinates of all 4 atoms:
Tc 0.0000 0.0000 0.0000  2 Cl 2.37
P 0.0000 0.5000 0.5000  2 P 2.37
P 0.5000 0.0000 0.5000  2 P 2.37
Cl 0.5000 0.5000 0.0000  2 Tc 2.37

space-group type = Cmmm, No. 65
raw formation energy = 0.639 eV per atom
energy above the lowest structure with this stoichiometry = 800.4 meV per atom
density of states at the Fermi level = 2.737 states/eV/cell


Record 7
Material: TcPCl2
Method: DFT, PBE-GGA
State: relaxed

a = 9.0170 Å, b = 9.0170 Å, c = 9.0170 Å
α = 20.49°, β = 20.49°, γ = 20.49°
With the nearest neighbours (Å) after each atom.
Fractional coordinates of all 4 atoms:
Tc 0.0000 0.0000 0.0000  3 P 2.34, 3 Cl 2.59
P 0.7209 0.7209 0.7209  3 Tc 2.34, 3 Cl 2.62
Cl 0.2650 0.2650 0.2650  3 Tc 2.59
Cl 0.4578 0.4578 0.4578  3 P 2.62

space-group type = R3m, No. 160
raw formation energy = -0.145 eV per atom
energy above the lowest structure with this stoichiometry = 299.3 meV per atom
density of states at the Fermi level = 2.692 states/eV/cell


Record 8
Material: TcP2Cl
Method: DFT, PBE-GGA
State: relaxed

a = 3.5968 Å, b = 4.4075 Å, c = 4.8422 Å
α = 90.00°, β = 111.22°, γ = 90.00°
With the nearest neighbours (Å) after each atom.
Fractional coordinates of all 4 atoms:
Tc 0.0000 0.0000 0.0000  2 Cl 2.44, 4 P 2.47
P 0.1807 0.5000 0.8534  2 P 2.22-2.25, 2 Tc 2.47
P 0.8193 0.5000 0.1466  2 P 2.22-2.25, 2 Tc 2.47
Cl 0.5000 0.0000 0.5000  2 Tc 2.44

space-group type = P2/m, No. 10
raw formation energy = 0.171 eV per atom
energy above the lowest structure with this stoichiometry = 332.8 meV per atom
density of states at the Fermi level = 3.566 states/eV/cell


Number 3 is which compound?
TcP2Cl


Look up the density of states at the Fermi level of the eighth one.
3.566 states/eV/cell


Among the records above, which one has the lowest energy above the lowest structure with this stoichiometry?
number 4